No. 1
Density functional theory data (GGA+U) for a relaxed structure of VInSbO6.

Values from the calculation:
The value obtained for the total energy is -6.49 eV per atom. Its density of states at the Fermi level is 5.8 states/eV per cell. Its crystal system is trigonal.

abc: 5.1888 5.1888 9.2898
angles: 90.00 90.00 120.00
Site moments in Bohr magnetons follow the coordinates.
Fractional positions:
In (0.0000, 0.0000, 0.0000)  0.02
In (0.0000, 0.0000, 0.5000)  0.02
Sb (0.3333, 0.6667, 0.7500)  0.02
Sb (0.6667, 0.3333, 0.2500)  0.02
O (0.3587, 0.0069, 0.6350)  -0.04
O (0.3519, 0.3587, 0.3650)  -0.04
O (0.3519, 0.9931, 0.1350)  -0.04
O (0.9931, 0.3519, 0.6350)  -0.04
O (0.0069, 0.6481, 0.3650)  -0.04
O (0.3587, 0.3519, 0.8650)  -0.04
O (0.6481, 0.0069, 0.8650)  -0.04
O (0.6413, 0.6481, 0.1350)  -0.04
O (0.6481, 0.6413, 0.6350)  -0.04
O (0.6413, 0.9931, 0.3650)  -0.04
O (0.0069, 0.3587, 0.1350)  -0.04
O (0.9931, 0.6413, 0.8650)  -0.04
V (0.6667, 0.3333, 0.7500)  1.14
V (0.3333, 0.6667, 0.2500)  1.14

No. 2
Density functional theory data (GGA+U) for a relaxed structure of InSbWO6.

Values from the calculation:
The value obtained for the total energy is -6.45 eV per atom. Its crystal system is trigonal.

abc: 5.4484 5.4484 9.5610
angles: 90.00 90.00 120.00
Fractional positions:
W (0.6667, 0.3333, 0.2500)
W (0.3333, 0.6667, 0.7500)
In (0.3333, 0.6667, 0.2500)
In (0.6667, 0.3333, 0.7500)
Sb (0.0000, 0.0000, 0.5000)
Sb (0.0000, 0.0000, 0.0000)
O (0.0311, 0.3720, 0.6346)
O (0.0311, 0.6592, 0.8654)
O (0.9689, 0.6280, 0.3654)
O (0.6280, 0.6592, 0.6346)
O (0.3720, 0.3408, 0.3654)
O (0.6280, 0.9689, 0.8654)
O (0.6592, 0.6280, 0.1346)
O (0.3408, 0.3720, 0.8654)
O (0.3408, 0.9689, 0.6346)
O (0.9689, 0.3408, 0.1346)
O (0.3720, 0.0311, 0.1346)
O (0.6592, 0.0311, 0.3654)